Record 1
Computed, not measured: crystalline Sm3P2Se at its relaxed geometry at the GGA-PBE level of DFT.

a b c (Å): 7.8010 7.6409 10.9831
angles (deg): 45.92 69.20 59.30
With the nearest neighbours (Å) after each atom.
Positions (direct):
1 Sm 0.4532 0.8156 0.2500  4 P 2.84-2.85, 1 Se 2.86
2 Sm 0.9812 0.3156 0.7500  4 P 2.84-2.85, 1 Se 2.86
3 Se 0.7830 0.7500 0.7500  4 Sm 2.86-2.96
4 P 0.7153 0.0694 0.0000  5 Sm 2.83-2.85
5 Sm 0.5468 0.1844 0.7500  4 P 2.84-2.85, 1 Se 2.86
6 Se 0.2170 0.2500 0.2500  4 Sm 2.86-2.96
7 Sm 0.5000 0.5000 0.0000  2 P 2.83, 2 Se 2.96
8 Sm 0.5000 0.0000 0.5000  2 P 2.83, 2 Se 2.96
9 P 0.2847 0.9306 0.0000  5 Sm 2.83-2.85
10 P 0.2847 0.4306 0.5000  5 Sm 2.83-2.85
11 Sm 0.0188 0.6844 0.2500  4 P 2.84-2.85, 1 Se 2.86
12 P 0.7153 0.5694 0.5000  5 Sm 2.83-2.85

Summary:
* symmetry: No. 63
* energy relative to the lowest polymorph listed for this composition: 462 meV/atom

***

Record 2
Computed, not measured: crystalline Sm5P2Se2 at its relaxed geometry at the GGA-PBE level of DFT.

a b c (Å): 7.7326 8.3139 8.3139
angles (deg): 124.77 90.00 90.00
With the nearest neighbours (Å) after each atom.
Positions (direct):
1 P 0.8552 0.3535 0.3535  8 Sm 2.89-3.04, 1 P 3.18
2 Se 0.0000 0.1988 0.8012  7 Sm 2.93-3.09
3 P 0.3552 0.1465 0.1465  8 Sm 2.89-3.04, 1 P 3.18
4 Sm 0.0000 0.0000 0.0000  2 Se 2.93, 4 P 2.95-2.97
5 P 0.1448 0.6465 0.6465  8 Sm 2.89-3.04, 1 P 3.18
6 Sm 0.3439 0.7114 0.9725  3 P 2.89-3.04, 3 Se 3.04-3.09
7 Se 0.5000 0.3012 0.6988  7 Sm 2.93-3.09
8 Sm 0.8439 0.5275 0.7886  3 P 2.89-3.04, 3 Se 3.04-3.09
9 Sm 0.1561 0.2114 0.4725  3 P 2.89-3.04, 3 Se 3.04-3.09
10 Sm 0.8439 0.7886 0.5275  3 P 2.89-3.04, 3 Se 3.04-3.09
11 Sm 0.6561 0.2886 0.0275  3 P 2.89-3.04, 3 Se 3.04-3.09
12 Sm 0.5000 0.5000 0.5000  2 Se 2.93, 4 P 2.95-2.97
13 Sm 0.6561 0.0275 0.2886  3 P 2.89-3.04, 3 Se 3.04-3.09
14 Se 0.5000 0.6988 0.3012  7 Sm 2.93-3.09
15 Sm 0.1561 0.4725 0.2114  3 P 2.89-3.04, 3 Se 3.04-3.09
16 Sm 0.3439 0.9725 0.7114  3 P 2.89-3.04, 3 Se 3.04-3.09
17 Se 0.0000 0.8012 0.1988  7 Sm 2.93-3.09
18 P 0.6448 0.8535 0.8535  8 Sm 2.89-3.04, 1 P 3.18

Summary:
* VASP energy: -6.01 eV/atom
* symmetry: No. 64

***

Record 3
Computed, not measured: crystalline Sm3P2Se at its relaxed geometry at the GGA-PBE level of DFT.

a b c (Å): 4.1200 5.8478 7.1619
angles (deg): 114.10 106.72 90.00
With the nearest neighbours (Å) after each atom.
Positions (direct):
1 Sm 0.8239 0.3239 0.1477  4 P 2.85-2.93, 2 Se 3.00
2 Sm 0.5000 0.0000 0.5000  4 P 2.90, 2 Se 2.92
3 P 0.8353 0.8353 0.1706  6 Sm 2.85-2.93
4 Se 0.5000 0.5000 0.5000  6 Sm 2.92-3.00
5 P 0.1647 0.1647 0.8294  6 Sm 2.85-2.93
6 Sm 0.1761 0.6761 0.8523  4 P 2.85-2.93, 2 Se 3.00

Summary:
* symmetry: No. 71
* energy relative to the lowest polymorph listed for this composition: 0 meV/atom

***

Record 4
Computed, not measured: crystalline Sm2PSe at its relaxed geometry at the GGA-PBE level of DFT.

a b c (Å): 4.0961 7.0913 7.1669
angles (deg): 90.00 90.00 90.00
With the nearest neighbours (Å) after each atom.
Positions (direct):
1 Sm 0.7500 0.5030 0.7672  3 P 2.90, 3 Se 3.04
2 P 0.7500 0.2500 0.0846  6 Sm 2.90
3 Se 0.7500 0.7500 0.4201  6 Sm 3.04
4 Sm 0.2500 0.0030 0.2328  3 P 2.90, 3 Se 3.04
5 P 0.2500 0.7500 0.9154  6 Sm 2.90
6 Sm 0.2500 0.4970 0.2328  3 P 2.90, 3 Se 3.04
7 Sm 0.7500 0.9970 0.7672  3 P 2.90, 3 Se 3.04
8 Se 0.2500 0.2500 0.5799  6 Sm 3.04

Summary:
* symmetry: No. 59
* energy relative to the lowest polymorph listed for this composition: 155 meV/atom

***

Record 5
Computed, not measured: crystalline Sm8PSe6 at its relaxed geometry at the GGA-PBE level of DFT.

a b c (Å): 4.2405 10.4435 10.4435
angles (deg): 120.00 90.00 90.00
With the nearest neighbours (Å) after each atom.
Positions (direct):
1 Sm 0.7454 0.3333 0.6667  6 Se 2.96
2 Se 0.7545 0.8728 0.5216  5 Sm 2.84-2.96
3 Se 0.7545 0.6488 0.1272  5 Sm 2.84-2.96
4 P 0.5000 0.0000 0.0000  6 Sm 3.19
5 Se 0.7545 0.4784 0.3512  5 Sm 2.84-2.96
6 Sm 0.2546 0.6667 0.3333  6 Se 2.96
7 Se 0.2455 0.1272 0.4784  5 Sm 2.84-2.96
8 Sm 0.7382 0.3037 0.0290  3 Se 2.84-2.92
9 Se 0.2455 0.3512 0.8728  5 Sm 2.84-2.96
10 Sm 0.2618 0.6963 0.9710  3 Se 2.84-2.92
11 Sm 0.2618 0.0290 0.7254  3 Se 2.84-2.92
12 Se 0.2455 0.5216 0.6488  5 Sm 2.84-2.96
13 Sm 0.2618 0.2746 0.3037  3 Se 2.84-2.92
14 Sm 0.7382 0.7254 0.6963  3 Se 2.84-2.92
15 Sm 0.7382 0.9710 0.2746  3 Se 2.84-2.92

Summary:
* VASP energy: -5.62 eV/atom
* symmetry: No. 147

***

Record 6
Computed, not measured: crystalline Sm6SnP2Se3 at its relaxed geometry at the GGA-PBE level of DFT.

a b c (Å): 4.1862 8.4845 9.4318
angles (deg): 103.18 102.82 90.00
With the nearest neighbours (Å) after each atom.
Positions (direct):
1 Sm 0.3278 0.4272 0.6557  3 P 2.85-2.89, 3 Se 3.06-3.08
2 Se 0.1650 0.8318 0.3299  6 Sm 2.95-3.09
3 Sm 0.3296 0.8985 0.6592  2 P 2.90, 3 Se 2.95-3.09, 1 Sn 3.05
4 Se 0.8350 0.1682 0.6701  6 Sm 2.95-3.09
5 Sn 0.5000 0.0000 0.0000  6 Sm 3.03-3.05
6 P 0.1684 0.3364 0.3368  6 Sm 2.85-2.91
7 P 0.8316 0.6636 0.6632  6 Sm 2.85-2.91
8 Sm 0.6704 0.1015 0.3408  2 P 2.90, 3 Se 2.95-3.09, 1 Sn 3.05
9 Sm 0.9942 0.7396 0.9884  1 P 2.91, 3 Se 2.94-3.05, 2 Sn 3.03
10 Se 0.5000 0.5000 0.0000  6 Sm 2.94-3.08
11 Sm 0.6722 0.5728 0.3443  3 P 2.85-2.89, 3 Se 3.06-3.08
12 Sm 0.0058 0.2604 0.0116  1 P 2.91, 3 Se 2.94-3.05, 2 Sn 3.03

Summary:
* VASP energy: -6.06 eV/atom
* symmetry: No. 12

***

Record 7
Computed, not measured: crystalline Sm6TeP3Se2 at its relaxed geometry at the GGA-PBE level of DFT.

a b c (Å): 4.1530 8.4642 9.4325
angles (deg): 104.55 102.72 90.00
With the nearest neighbours (Å) after each atom.
Positions (direct):
1 Te 0.5000 0.0000 0.0000  6 Sm 3.12-3.13
2 Sm 0.9956 0.2724 0.9911  3 P 2.82-2.87, 1 Se 3.07, 2 Te 3.12
3 Sm 0.6623 0.5940 0.3246  3 P 2.88-2.89, 3 Se 3.03-3.05
4 Sm 0.0044 0.7276 0.0089  3 P 2.82-2.87, 1 Se 3.07, 2 Te 3.12
5 P 0.5000 0.5000 0.0000  6 Sm 2.82-2.89
6 Sm 0.3377 0.4060 0.6754  3 P 2.88-2.89, 3 Se 3.03-3.05
7 Se 0.1674 0.3335 0.3348  6 Sm 3.03-3.07
8 P 0.1656 0.8316 0.3313  6 Sm 2.83-2.89
9 Sm 0.3245 0.9264 0.6490  3 P 2.83-2.89, 2 Se 3.06, 1 Te 3.13
10 Se 0.8326 0.6665 0.6652  6 Sm 3.03-3.07
11 P 0.8344 0.1684 0.6687  6 Sm 2.83-2.89
12 Sm 0.6755 0.0736 0.3510  3 P 2.83-2.89, 2 Se 3.06, 1 Te 3.13

Summary:
* VASP energy: -6.26 eV/atom
* symmetry: No. 12

***

Record 8
Computed, not measured: crystalline Sm8Te4P3Se at its relaxed geometry at the GGA-PBE level of DFT.

a b c (Å): 8.4361 8.7179 8.4364
angles (deg): 118.94 120.00 90.00
With the nearest neighbours (Å) after each atom.
Positions (direct):
1 Se 0.0000 0.5000 0.0000  6 Sm 2.95
2 Te 0.0000 0.0000 0.0000  6 Sm 3.21-3.23
3 Te 0.5000 0.0000 0.5000  6 Sm 3.21-3.23
4 Sm 0.7276 0.7133 0.9705  2 P 2.85, 1 Se 2.95, 1 Te 3.14
5 P 0.0000 0.5000 0.5000  6 Sm 2.85-2.87
6 Sm 0.7571 0.2867 0.5142  2 P 2.85, 1 Se 2.95, 1 Te 3.14
7 Sm 0.7371 0.7113 0.4742  3 P 2.87, 3 Te 3.21
8 Sm 0.2724 0.2867 0.0295  2 P 2.85, 1 Se 2.95, 1 Te 3.14
9 Sm 0.2429 0.7133 0.4858  2 P 2.85, 1 Se 2.95, 1 Te 3.14
10 Sm 0.2629 0.2887 0.5258  3 P 2.87, 3 Te 3.21
11 Sm 0.7571 0.2867 0.0295  2 P 2.85, 1 Se 2.95, 1 Te 3.14
12 Te 0.5000 0.0000 0.0000  6 Sm 3.14
13 P 0.5000 0.5000 0.0000  6 Sm 2.85-2.87
14 Te 0.0000 0.0000 0.5000  6 Sm 3.21-3.23
15 Sm 0.2429 0.7133 0.9705  2 P 2.85, 1 Se 2.95, 1 Te 3.14
16 P 0.5000 0.5000 0.5000  6 Sm 2.85-2.87

Summary:
* VASP energy: -5.97 eV/atom
* symmetry: No. 166

***

Record 9
Computed, not measured: crystalline SmThPSe at its relaxed geometry at the GGA-PBE level of DFT.

a b c (Å): 4.0723 4.0731 7.5800
angles (deg): 90.00 105.57 120.00
With the nearest neighbours (Å) after each atom.
Positions (direct):
1 P 0.3032 0.5496 0.8681  3 Th 2.83, 3 Sm 2.84
2 Se 0.9685 0.3823 0.3659  3 Th 3.09, 3 Sm 3.11
3 Sm 0.4897 0.1428 0.6479  3 P 2.84, 3 Se 3.11
4 Th 0.1165 0.9562 0.0877  3 P 2.83, 3 Se 3.09

Summary:
* VASP energy: -6.90 eV/atom
* symmetry: No. 160

***

Record 10
Computed, not measured: crystalline Sm8Tl4PSe3 at its relaxed geometry at the GGA-PBE level of DFT.

a b c (Å): 8.1172 9.2646 8.1370
angles (deg): 116.18 119.92 90.00
With the nearest neighbours (Å) after each atom.
Positions (direct):
1 P 0.0000 0.5000 0.0000  6 Sm 2.84-2.85
2 Sm 0.7479 0.7135 0.9809  1 P 2.84, 2 Se 2.93
3 Sm 0.7670 0.2864 0.5340  1 P 2.85, 2 Se 2.93
4 Tl 0.5000 0.0000 0.5000  6 Sm 3.23-3.25
5 Tl 0.0000 0.0000 0.5000  6 Sm 3.23-3.25
6 Se 0.0000 0.5000 0.5000  6 Sm 2.93-2.94
7 Sm 0.2521 0.2865 0.0191  1 P 2.84, 2 Se 2.93
8 Sm 0.2592 0.2778 0.5183  3 Se 2.94, 3 Tl 3.23
9 Tl 0.0000 0.0000 0.0000  6 Sm 3.23-3.25
10 Sm 0.7670 0.2865 0.0191  1 P 2.84, 2 Se 2.93
11 Se 0.5000 0.5000 0.0000  6 Sm 2.93-2.94
12 Sm 0.2330 0.7136 0.4660  1 P 2.85, 2 Se 2.93
13 Se 0.5000 0.5000 0.5000  6 Sm 2.93-2.94
14 Tl 0.5000 0.0000 0.0000  6 Sm 3.32-3.33
15 Sm 0.2330 0.7135 0.9809  1 P 2.84, 2 Se 2.93
16 Sm 0.7408 0.7222 0.4817  3 Se 2.94, 3 Tl 3.23

Summary:
* VASP energy: -5.00 eV/atom
* symmetry: No. 12

***

Record 11
Computed, not measured: crystalline SmTlP2Se6 at its relaxed geometry at the GGA-PBE level of DFT.

a b c (Å): 7.7261 6.8852 10.5173
angles (deg): 88.36 90.00 90.00
With the nearest neighbours (Å) after each atom.
Positions (direct):
1 Se 0.1297 0.3424 0.9820  1 P 2.16
2 Se 0.6286 0.8661 0.5179  1 P 2.25
3 Se 0.4123 0.0938 0.2469  1 P 2.19
4 P 0.5069 0.8160 0.3274  3 Se 2.19-2.25, 1 P 2.27
5 Se 0.3088 0.5796 0.3296  1 P 2.23
6 Se 0.4341 0.0951 0.7673  1 P 2.19
7 Se 0.8044 0.4339 0.3284  1 P 2.25
8 Se 0.1286 0.1339 0.4821  1 P 2.25
9 Sm 0.9980 0.7142 0.4974  8 Se 3.05-3.14
10 P 0.2242 0.3054 0.7913  3 Se 2.16-2.25, 1 P 2.27
11 P 0.0069 0.1840 0.6726  3 Se 2.19-2.25, 1 P 2.27
12 Tl 0.2150 0.8145 0.9942  7 Se 3.32-3.69
13 Se 0.8088 0.4204 0.6704  1 P 2.23
14 Se 0.3044 0.5661 0.6716  1 P 2.25
15 Se 0.9123 0.9062 0.7531  1 P 2.19
16 Se 0.6297 0.6576 0.0180  1 P 2.16
17 Se 0.9341 0.9049 0.2327  1 P 2.19
18 Tl 0.7150 0.1855 0.0058  7 Se 3.32-3.69
19 P 0.7242 0.6946 0.2087  3 Se 2.16-2.25, 1 P 2.27
20 Sm 0.4980 0.2858 0.5026  8 Se 3.05-3.14

Summary:
* VASP energy: -4.53 eV/atom
* symmetry: No. 4

***

Record 12
Computed, not measured: crystalline Sm6ZnP2Se3 at its relaxed geometry at the GGA-PBE level of DFT.

a b c (Å): 4.1204 8.4211 9.3267
angles (deg): 103.47 102.76 90.00
With the nearest neighbours (Å) after each atom.
Positions (direct):
1 Sm 0.3286 0.4277 0.6572  3 P 2.85-2.86, 3 Se 3.02-3.03
2 Se 0.8327 0.1679 0.6655  6 Sm 2.93-3.03
3 Sm 0.6671 0.0961 0.3341  2 P 2.88, 3 Se 2.93-3.03, 1 Zn 2.95
4 Se 0.1673 0.8321 0.3345  6 Sm 2.93-3.03
5 P 0.1671 0.3346 0.3342  6 Sm 2.85-2.88
6 Sm 0.6714 0.5723 0.3428  3 P 2.85-2.86, 3 Se 3.02-3.03
7 Sm 0.3329 0.9039 0.6659  2 P 2.88, 3 Se 2.93-3.03, 1 Zn 2.95
8 P 0.8329 0.6654 0.6658  6 Sm 2.85-2.88
9 Sm 0.9961 0.7450 0.9921  1 P 2.88, 3 Se 2.93-3.02, 2 Zn 2.96
10 Se 0.5000 0.5000 0.0000  6 Sm 2.93-3.03
11 Zn 0.5000 0.0000 0.0000  6 Sm 2.95-2.96
12 Sm 0.0039 0.2550 0.0079  1 P 2.88, 3 Se 2.93-3.02, 2 Zn 2.96

Summary:
* VASP energy: -5.75 eV/atom
* symmetry: No. 12

***

| no. | total moment (μB/atom) |
| --- | --- |
| 1 | 0.000 |
| 2 | 0.000 |
| 3 | 0.000 |
| 4 | 0.000 |
| 5 | 0.000 |
| 6 | 0.000 |
| 7 | 0.000 |
| 8 | 0.000 |
| 9 | 0.000 |
| 10 | 0.000 |
| 11 | 0.000 |
| 12 | 0.000 |